No. 1
K2Rb2AlH6, relaxed, DFT GGA-PBE; crystal system = monoclinic; symmetry = No. 12; D(E_F) = 1.53 states/eV/cell; electronic total energy = -29.4 eV per cell
1.0
-5.0464 4.2413 -0.6244
-1.2665 -6.3993 1.1354
0.9840 1.3910 6.2971
Al Rb K H
1 2 2 6
Cartesian
0.4920 0.6955 3.1485 Al
-3.2618 1.2981 3.1260 Rb
-2.0671 -2.0651 3.6822 Rb
-4.5158 2.7474 -0.3773 K
-1.7972 -4.9055 0.8884 K
0.1770 -0.5951 4.3587 H
-0.6723 1.7955 3.9633 H
-0.8227 0.0511 2.0762 H
-4.6567 -2.5626 2.8449 H
-4.5062 -0.8181 4.7320 H
-5.5059 -0.1719 2.4495 H



No. 2
KAlH2S, relaxed, DFT GGA-PBE; crystal system = tetragonal; symmetry = No. 123; D(E_F) = 2.58 states/eV/cell; electronic total energy = -11.3 eV per cell
1.0
4.1676 0.0000 0.0000
0.0000 6.1431 0.0000
0.0000 0.0000 4.1676
S K H Al
1 1 2 1
Cartesian
0.0000 0.0000 0.0000 S
0.0000 3.0715 0.0000 K
0.0000 0.0000 2.0838 H
2.0838 0.0000 0.0000 H
2.0838 3.0715 2.0838 Al



No. 3
KAlSbH2, relaxed, DFT GGA-PBE; crystal system = orthorhombic; symmetry = No. 63; D(E_F) = 1.45 states/eV/cell; electronic total energy = -32.3 eV per cell
1.0
-0.3976 -3.5132 -3.2602
5.0553 -1.2737 4.3033
-3.9670 -3.0406 3.7603
Al Sb K H
2 2 2 4
Cartesian
0.0000 0.0000 0.0000 Al
-1.9835 -1.5203 1.8802 Al
-0.6837 -2.8330 -0.4110 Sb
1.3744 -4.9944 5.2144 Sb
1.7092 -2.4454 2.4268 K
-1.0184 -5.3820 2.3767 K
-0.9226 -2.4422 2.7442 H
-2.5322 -3.6759 4.2700 H
3.2229 -4.1515 0.5335 H
1.6133 -5.3852 2.0592 H



No. 4
KAl2SnH, relaxed, DFT GGA-PBE; crystal system = tetragonal; symmetry = No. 123; D(E_F) = 2.46 states/eV/cell; electronic total energy = -13.3 eV per cell
1.0
5.7779 0.0000 0.0000
0.0000 3.8850 0.0000
0.0000 0.0000 5.7779
Sn Al H K
1 2 1 1
Cartesian
0.0000 0.0000 0.0000 Sn
0.0000 0.0000 2.8889 Al
2.8889 0.0000 0.0000 Al
0.0000 1.9425 0.0000 H
2.8889 1.9425 2.8889 K



- What is the formula in the fourth record?
  KAl2SnH



- Which of these has the lowest D(E_F)?
  KAlSbH2